# 1
Entry from the Alexandria database: La2RhPb3 after structural relaxation (PBE-GGA).

Cell lengths 3.9731, 5.1512, 8.5637 Å; angles 90.00, 90.00, 90.00 degrees
Sites, in units of the cell vectors:
La 0.0000 0.0000 0.0000
La 0.0000 0.5000 0.4407
Rh 0.5000 0.0000 0.2518
Pb 0.5000 0.0000 0.5806
Pb 0.5000 0.5000 0.1382
Pb 0.5000 0.5000 0.7807

Summary:
- raw total energy (eV/atom) = -5.178
- space group = Pmm2
- magnetization (Bohr magnetons per cell) = 0.0
- formation enthalpy at 0 K (eV per atom) = -0.456

=====

# 2
Entry from the Alexandria database: Ca2ZnPb after structural relaxation (PBE-GGA).

Cell lengths 7.7188, 7.7188, 7.7188 Å; angles 90.00, 90.00, 90.00 degrees
Sites, in units of the cell vectors:
Ca 0.0000 0.0000 0.0000
Ca 0.0000 0.5000 0.5000
Ca 0.2500 0.2500 0.2500
Ca 0.2500 0.7500 0.7500
Ca 0.5000 0.0000 0.5000
Ca 0.5000 0.5000 0.0000
Ca 0.7500 0.2500 0.7500
Ca 0.7500 0.7500 0.2500
Zn 0.2500 0.2500 0.7500
Zn 0.2500 0.7500 0.2500
Zn 0.7500 0.2500 0.2500
Zn 0.7500 0.7500 0.7500
Pb 0.0000 0.0000 0.5000
Pb 0.0000 0.5000 0.0000
Pb 0.5000 0.0000 0.0000
Pb 0.5000 0.5000 0.5000

Summary:
- raw total energy (eV/atom) = -2.338
- space group = F-43m
- magnetization (Bohr magnetons per cell) = 0.0
- formation enthalpy at 0 K (eV per atom) = -0.092

=====

# 3
Entry from the Alexandria database: Rb5Cd2O after structural relaxation (PBE-GGA).

Cell lengths 12.4229, 10.6753, 6.3819 Å; angles 90.00, 120.74, 90.00 degrees
Sites, in units of the cell vectors:
Rb 0.0000 0.0000 0.0000
Rb 0.1757 0.1756 0.6757
Rb 0.1757 0.8244 0.6757
Rb 0.3245 0.3243 0.3244
Rb 0.3245 0.6757 0.3244
Rb 0.5000 0.5000 0.0000
Rb 0.6757 0.3244 0.6757
Rb 0.6757 0.6756 0.6757
Rb 0.8245 0.1757 0.3244
Rb 0.8245 0.8243 0.3244
Cd 0.0000 0.5000 0.2471
Cd 0.0003 0.5000 0.7474
Cd 0.5000 0.0000 0.2471
Cd 0.5003 0.0000 0.7474
O 0.0000 0.0000 0.5002
O 0.5000 0.5000 0.5002

Summary:
- raw total energy (eV/atom) = -1.769
- uncorrected formation energy (eV/atom) = -0.316
- space group = Cm
- magnetization (Bohr magnetons per cell) = 0.0

=====

# 4
Entry from the Alexandria database: Ce2Hf2Se5 after structural relaxation (PBE-GGA).

Cell lengths 7.3491, 7.3491, 7.3479 Å; angles 114.59, 114.59, 40.86 degrees
Sites, in units of the cell vectors:
Ce 0.1150 0.1150 0.2756
Ce 0.8850 0.8850 0.7244
Hf 0.3322 0.3322 0.0983
Hf 0.6678 0.6678 0.9017
Se 0.1229 0.1229 0.8595
Se 0.3526 0.3526 0.4693
Se 0.5000 0.5000 0.0000
Se 0.6474 0.6474 0.5307
Se 0.8771 0.8771 0.1405

Summary:
- raw total energy (eV/atom) = -6.797
- uncorrected formation energy (eV/atom) = -1.331
- space group = C2/m
- magnetization (Bohr magnetons per cell) = 2.1

=====

# 5
Entry from the Alexandria database: Tb3Tm3Al2 after structural relaxation (PBE-GGA).

Cell lengths 6.3205, 6.3205, 15.0112 Å; angles 90.00, 90.00, 132.28 degrees
Sites, in units of the cell vectors:
Tb 0.0421 0.9579 0.7500
Tb 0.1492 0.8508 0.0270
Tb 0.1492 0.8508 0.4730
Tb 0.8508 0.1492 0.5270
Tb 0.8508 0.1492 0.9730
Tb 0.9579 0.0421 0.2500
Tm 0.2429 0.7571 0.2500
Tm 0.4612 0.5388 0.1053
Tm 0.4612 0.5388 0.3947
Tm 0.5388 0.4612 0.6053
Tm 0.5388 0.4612 0.8947
Tm 0.7571 0.2429 0.7500
Al 0.2835 0.7165 0.6520
Al 0.2835 0.7165 0.8480
Al 0.7165 0.2835 0.1520
Al 0.7165 0.2835 0.3480

Summary:
- raw total energy (eV/atom) = -4.461
- space group = Cmcm
- magnetization (Bohr magnetons per cell) = 0.0
- formation enthalpy at 0 K (eV per atom) = -0.112

=====

# 6
Entry from the Alexandria database: Th2GaAs3Rh4 after structural relaxation (PBE-GGA).

Cell lengths 4.2247, 4.2247, 10.3172 Å; angles 90.00, 90.00, 90.00 degrees
Sites, in units of the cell vectors:
Th 0.0000 0.5000 0.2488
Th 0.5000 0.0000 0.7512
Ga 0.0000 0.0000 0.5000
As 0.0000 0.5000 0.8634
As 0.5000 0.0000 0.1366
As 0.5000 0.5000 0.5000
Rh 0.0000 0.0000 0.0000
Rh 0.0000 0.5000 0.6296
Rh 0.5000 0.0000 0.3704
Rh 0.5000 0.5000 0.0000

Summary:
- raw total energy (eV/atom) = -7.062
- space group = P-4m2
- magnetization (Bohr magnetons per cell) = 0.0
- formation enthalpy at 0 K (eV per atom) = -0.940

=====

Q: magnetization of number 3 (Rb5Cd2O)?
A: 0.0 Bohr magnetons per cell

=====

Q: The highest raw total energy belongs to which entry?
A: Rb5Cd2O

=====

Copy entry 1 word for word.
Entry from the Alexandria database: La2RhPb3 after structural relaxation (PBE-GGA).

Cell lengths 3.9731, 5.1512, 8.5637 Å; angles 90.00, 90.00, 90.00 degrees
Sites, in units of the cell vectors:
La 0.0000 0.0000 0.0000
La 0.0000 0.5000 0.4407
Rh 0.5000 0.0000 0.2518
Pb 0.5000 0.0000 0.5806
Pb 0.5000 0.5000 0.1382
Pb 0.5000 0.5000 0.7807

Summary:
- raw total energy (eV/atom) = -5.178
- space group = Pmm2
- magnetization (Bohr magnetons per cell) = 0.0
- formation enthalpy at 0 K (eV per atom) = -0.456